DFT (GGA-PBE) results for a relaxed structure of BeTl2Tc.

Cell lengths 4.7064, 4.7064, 4.7064 Å; angles 60.00, 60.00, 60.00 degrees
Atoms (fractional coordinates):
Be  0.0000  0.0000  0.0000
Tl  0.2500  0.2500  0.2500
Tl  0.7500  0.7500  0.7500
Tc  0.5000  0.5000  0.5000

ρ ... 11.62 Mg/m³
Crystal system ... cubic
Magnetic moment ... 0.0 μB/cell
Density of states at the Fermi level ... 3.900 states/eV/f.u.
Electronic total energy ... -14.86 eV per cell
Formation energy ... 0.990 eV per atom